The following is a DFT calculation (PBE) of a relaxed structure of Rb2Pm2Te5.

Geometry as POSCAR:
```
Rb2Pm2Te5
1.0
8.664 0.000 0.000
0.000 8.637 0.000
0.000 -4.318 9.107
Rb Pm Te
4 4 10
Cartesian
0.000 0.000 3.746 Rb
4.332 4.318 3.746 Rb
0.000 4.318 5.361 Rb
4.332 0.000 5.361 Rb
5.678 7.299 0.000 Pm
2.986 1.338 0.000 Pm
1.346 5.656 0.000 Pm
7.318 2.980 0.000 Pm
0.000 0.000 0.000 Te
4.332 4.318 0.000 Te
7.407 5.581 2.035 Te
1.257 3.055 2.035 Te
3.075 7.373 2.035 Te
5.589 1.263 2.035 Te
1.257 -1.263 7.072 Te
7.407 1.263 7.072 Te
5.589 -3.055 7.072 Te
3.075 3.055 7.072 Te
```

Values from the calculation:
Its density of states at the Fermi level is 8.51 states/eV/f.u. Its space group is Cmce, No. 64. For the calculated total energy, the calculation gives -74.48 eV per cell. For the size of the total moment, the calculation gives 0.000 μB/atom. The raw formation energy is -1.122 eV/atom.

The following is a DFT calculation (PBE) of a relaxed structure of CaMgZr2.

Geometry as POSCAR:
```
CaMgZr2
1.0
3.309 0.000 0.000
0.000 5.292 0.000
0.000 0.000 5.794
Ca Mg Zr
1 1 2
Cartesian
1.655 0.000 2.897 Ca
0.000 2.646 2.897 Mg
0.000 0.000 0.000 Zr
1.655 2.646 0.000 Zr
```

Values from the calculation:
Its density of states at the Fermi level is 4.30 states/eV/f.u. Its space group is Pmmm, No. 47. For the calculated total energy, the calculation gives -19.70 eV per cell. The value obtained for the energy relative to the elements is 249 meV per atom. For the size of the total moment, the calculation gives 0.000 μB/atom.

The following is a DFT calculation (PBE) of a relaxed structure of Ba2GaBiSb.

Geometry as POSCAR:
```
Ba2GaBiSb
1.0
5.320 0.000 0.000
0.000 8.349 1.492
0.000 -1.765 8.489
Ba Ga Bi Sb
4 2 2 2
Cartesian
3.990 5.714 5.454 Ba
3.990 6.322 1.179 Ba
1.330 0.870 4.527 Ba
1.330 0.262 8.802 Ba
1.330 3.568 6.689 Ga
3.990 3.016 3.293 Ga
1.330 4.298 3.211 Bi
3.990 2.286 6.770 Bi
1.330 6.055 7.803 Sb
3.990 0.529 2.178 Sb
```

Values from the calculation:
Its density of states at the Fermi level is 1.63 states/eV/f.u. Its space group is P2_1/m, No. 11. For the calculated total energy, the calculation gives -37.21 eV per cell. For the size of the total moment, the calculation gives 0.000 μB/atom. The raw formation energy is -0.746 eV/atom.